Entry 1:
# HfReNO2

HfReNO2 after structural relaxation (GGA-PBE, Alexandria via LeMat-Bulk).

Results
ΔE_f (raw): -3.02 eV/f.u.

Cell: 3.9055 3.9055 3.9053 Å, 90.00 90.00 90.00°
Closest atoms and distances in Å follow each position.
Sites, in units of the cell vectors:
Hf 0.0000 0.0000 0.0000  8 O 2.76, 4 N 2.76
Re 0.5000 0.5000 0.5000  2 N 1.95, 4 O 1.95
N 0.5000 0.5000 0.0000  2 Re 1.95
O 0.0000 0.5000 0.5000  2 Re 1.95
O 0.5000 0.0000 0.5000  2 Re 1.95

---

Entry 2:
# CsKZr6BCl15

CsKZr6BCl15 after structural relaxation (GGA-PBE, Alexandria via LeMat-Bulk).

Results
ΔE_f (raw): -43.58 eV/f.u.

Cell: 19.1457 14.2896 9.9868 Å, 90.00 90.00 90.00°
Closest atoms and distances in Å follow each position.
Sites, in units of the cell vectors:
Cs 0.0000 0.0000 0.0000  8 Cl 3.54-3.61
Cs 0.2500 0.5000 0.3969  4 Cl 3.56-3.59
Cs 0.5000 0.0000 0.0000  8 Cl 3.54-3.61
Cs 0.7500 0.5000 0.6031  4 Cl 3.56-3.59
K 0.2500 0.2504 0.8414  10 Cl 3.46-3.60
K 0.2500 0.7496 0.8414  10 Cl 3.46-3.60
K 0.7500 0.2504 0.1586  10 Cl 3.46-3.60
K 0.7500 0.7496 0.1586  10 Cl 3.46-3.60
Zr 0.0297 0.3846 0.1555  1 B 2.34, 4 Cl 2.56-2.59
Zr 0.0297 0.6154 0.1555  1 B 2.34, 4 Cl 2.56-2.59
Zr 0.1127 0.5000 0.9176  1 B 2.31, 4 Cl 2.56-2.57
Zr 0.1637 0.1157 0.3436  1 B 2.34, 4 Cl 2.57-2.60
Zr 0.1637 0.8843 0.3436  1 B 2.34, 4 Cl 2.57-2.60
Zr 0.2500 0.0000 0.1143  1 B 2.30, 4 Cl 2.56
Zr 0.2500 0.0000 0.5743  1 B 2.29
Zr 0.3363 0.1157 0.3436  1 B 2.34, 4 Cl 2.57-2.60
Zr 0.3363 0.8843 0.3436  1 B 2.34, 4 Cl 2.57-2.60
Zr 0.3873 0.5000 0.9176  1 B 2.31, 4 Cl 2.56-2.57
Zr 0.4703 0.3846 0.1555  1 B 2.34, 4 Cl 2.56-2.59
Zr 0.4703 0.6154 0.1555  1 B 2.34, 4 Cl 2.56-2.59
Zr 0.5297 0.3846 0.8445  1 B 2.34, 4 Cl 2.56-2.59
Zr 0.5297 0.6154 0.8445  1 B 2.34, 4 Cl 2.56-2.59
Zr 0.6127 0.5000 0.0824  1 B 2.31, 4 Cl 2.56-2.57
Zr 0.6637 0.1157 0.6564  1 B 2.34, 4 Cl 2.57-2.60
Zr 0.6637 0.8843 0.6564  1 B 2.34, 4 Cl 2.57-2.60
Zr 0.7500 0.0000 0.4257  1 B 2.29
Zr 0.7500 0.0000 0.8857  1 B 2.30, 4 Cl 2.56
Zr 0.8363 0.1157 0.6564  1 B 2.34, 4 Cl 2.57-2.60
Zr 0.8363 0.8843 0.6564  1 B 2.34, 4 Cl 2.57-2.60
Zr 0.8873 0.5000 0.0824  1 B 2.31, 4 Cl 2.56-2.57
Zr 0.9703 0.3846 0.8445  1 B 2.34, 4 Cl 2.56-2.59
Zr 0.9703 0.6154 0.8445  1 B 2.34, 4 Cl 2.56-2.59
B 0.0000 0.5000 0.0000  6 Zr 2.31-2.34
B 0.2500 0.0000 0.3449  6 Zr 2.29-2.34
B 0.5000 0.5000 0.0000  6 Zr 2.31-2.34
B 0.7500 0.0000 0.6551  6 Zr 2.29-2.34
Cl 0.0000 0.2476 0.0000  2 Zr 2.56
Cl 0.0000 0.7524 0.0000  2 Zr 2.56
Cl 0.0607 0.0000 0.3419  2 Zr 2.57
Cl 0.0653 0.2507 0.3345  2 Zr 2.70-2.71
Cl 0.0650 0.5000 0.3413  2 Zr 2.57
Cl 0.0653 0.7493 0.3345  2 Zr 2.70-2.71
Cl 0.0940 0.3718 0.7412  2 Zr 2.57-2.59
Cl 0.0940 0.6282 0.7412  2 Zr 2.57-2.59
Cl 0.1554 0.1272 0.6008  2 Zr 2.58
Cl 0.1554 0.8728 0.6008  2 Zr 2.58
Cl 0.1566 0.1265 0.0846  2 Zr 2.56-2.60
Cl 0.1566 0.8735 0.0846  2 Zr 2.56-2.60
Cl 0.1586 0.3757 0.0805  2 Zr 2.56-2.58
Cl 0.1586 0.6243 0.0805  2 Zr 2.56-2.58
Cl 0.2500 0.0000 0.8441  2 Zr 2.69-2.70
Cl 0.2500 0.2532 0.3484  2 Zr 2.57
Cl 0.2500 0.5000 0.8126  2 Zr 2.83
Cl 0.2500 0.7468 0.3484  2 Zr 2.57
Cl 0.3414 0.3757 0.0805  2 Zr 2.56-2.58
Cl 0.3414 0.6243 0.0805  2 Zr 2.56-2.58
Cl 0.3434 0.1265 0.0846  2 Zr 2.56-2.60
Cl 0.3434 0.8735 0.0846  2 Zr 2.56-2.60
Cl 0.3446 0.1272 0.6008  2 Zr 2.58
Cl 0.3446 0.8728 0.6008  2 Zr 2.58
Cl 0.4060 0.3718 0.7412  2 Zr 2.57-2.59
Cl 0.4060 0.6282 0.7412  2 Zr 2.57-2.59
Cl 0.4347 0.2507 0.3345  2 Zr 2.70-2.71
Cl 0.4350 0.5000 0.3413  2 Zr 2.57
Cl 0.4347 0.7493 0.3345  2 Zr 2.70-2.71
Cl 0.4393 0.0000 0.3419  2 Zr 2.57
Cl 0.5000 0.2476 0.0000  2 Zr 2.56
Cl 0.5000 0.7524 0.0000  2 Zr 2.56
Cl 0.5607 0.0000 0.6581  2 Zr 2.57
Cl 0.5653 0.2507 0.6655  2 Zr 2.70-2.71
Cl 0.5650 0.5000 0.6587  2 Zr 2.57
Cl 0.5653 0.7493 0.6655  2 Zr 2.70-2.71
Cl 0.5940 0.3718 0.2588  2 Zr 2.57-2.59
Cl 0.5940 0.6282 0.2588  2 Zr 2.57-2.59
Cl 0.6554 0.1272 0.3992  2 Zr 2.58
Cl 0.6554 0.8728 0.3992  2 Zr 2.58
Cl 0.6566 0.1265 0.9154  2 Zr 2.56-2.60
Cl 0.6566 0.8735 0.9154  2 Zr 2.56-2.60
Cl 0.6586 0.3757 0.9195  2 Zr 2.56-2.58
Cl 0.6586 0.6243 0.9195  2 Zr 2.56-2.58
Cl 0.7500 0.0000 0.1559  2 Zr 2.69-2.70
Cl 0.7500 0.2532 0.6516  2 Zr 2.57
Cl 0.7500 0.5000 0.1874  2 Zr 2.83
Cl 0.7500 0.7468 0.6516  2 Zr 2.57
Cl 0.8414 0.3757 0.9195  2 Zr 2.56-2.58
Cl 0.8414 0.6243 0.9195  2 Zr 2.56-2.58
Cl 0.8434 0.1265 0.9154  2 Zr 2.56-2.60
Cl 0.8434 0.8735 0.9154  2 Zr 2.56-2.60
Cl 0.8446 0.1272 0.3992  2 Zr 2.58
Cl 0.8446 0.8728 0.3992  2 Zr 2.58
Cl 0.9060 0.3718 0.2588  2 Zr 2.57-2.59
Cl 0.9060 0.6282 0.2588  2 Zr 2.57-2.59
Cl 0.9347 0.2507 0.6655  2 Zr 2.70-2.71
Cl 0.9350 0.5000 0.6587  2 Zr 2.57
Cl 0.9347 0.7493 0.6655  2 Zr 2.70-2.71
Cl 0.9393 0.0000 0.6581  2 Zr 2.57

---

Entry 3:
# Ca2VIr2

Ca2VIr2 after structural relaxation (GGA-PBE, Alexandria via LeMat-Bulk).

Results
Energy relative to the elements: -0.2235 eV per atom

Cell: 6.5264 6.5264 4.8045 Å, 90.00 90.00 90.00°
Closest atoms and distances in Å follow each position.
Sites, in units of the cell vectors:
Ca 0.1766 0.3234 0.0000  6 Ir 2.96-3.16, 1 Ca 3.26
Ca 0.3234 0.8234 0.0000  6 Ir 2.96-3.16, 1 Ca 3.26
Ca 0.6766 0.1766 0.0000  6 Ir 2.96-3.16, 1 Ca 3.26
Ca 0.8234 0.6766 0.0000  6 Ir 2.96-3.16, 1 Ca 3.26
V 0.0000 0.0000 0.5000  4 Ir 2.54
V 0.5000 0.5000 0.5000  4 Ir 2.54
Ir 0.1358 0.6358 0.5000  1 Ir 2.51, 2 V 2.54
Ir 0.3642 0.1358 0.5000  1 Ir 2.51, 2 V 2.54
Ir 0.6358 0.8642 0.5000  1 Ir 2.51, 2 V 2.54
Ir 0.8642 0.3642 0.5000  1 Ir 2.51, 2 V 2.54

---

Entry 4:
# CsAlAu4

CsAlAu4 after structural relaxation (GGA-PBE, Alexandria via LeMat-Bulk).

Results
Energy relative to the elements: -0.2349 eV per atom

Cell: 7.2983 7.2983 6.9219 Å, 93.47 93.47 54.66°
Closest atoms and distances in Å follow each position.
Sites, in units of the cell vectors:
Cs 0.2149 0.2149 0.3658  10 Au 3.47-3.87
Cs 0.7851 0.7851 0.6342  10 Au 3.47-3.87
Al 0.4624 0.4624 0.8003  5 Au 2.52-2.64
Al 0.5376 0.5376 0.1997  5 Au 2.52-2.64
Au 0.1219 0.6996 0.1145  1 Al 2.58, 3 Au 2.81-2.87
Au 0.2757 0.7243 0.5000  2 Al 2.64, 2 Au 2.87
Au 0.2769 0.2769 0.8862  1 Al 2.52, 2 Au 2.81
Au 0.3004 0.8781 0.8855  1 Al 2.58, 3 Au 2.81-2.87
Au 0.6996 0.1219 0.1145  1 Al 2.58, 3 Au 2.81-2.87
Au 0.7231 0.7231 0.1138  1 Al 2.52, 2 Au 2.81
Au 0.7243 0.2757 0.5000  2 Al 2.64, 2 Au 2.87
Au 0.8781 0.3004 0.8855  1 Al 2.58, 3 Au 2.81-2.87

---

Entry 5:
# NdZn2SiPd2

NdZn2SiPd2 after structural relaxation (GGA-PBE, Alexandria via LeMat-Bulk).

Results
ΔE_f (raw): -2.62 eV/f.u.

Cell: 4.5787 4.5787 5.6640 Å, 90.00 90.00 90.00°
Closest atoms and distances in Å follow each position.
Sites, in units of the cell vectors:
Nd 0.0000 0.0000 0.0000  2 Si 2.83
Zn 0.5000 0.5000 0.2311  1 Zn 2.62, 4 Pd 2.75
Zn 0.5000 0.5000 0.7689  1 Zn 2.62, 4 Pd 2.75
Si 0.0000 0.0000 0.5000  4 Pd 2.29
Pd 0.0000 0.5000 0.5000  2 Si 2.29
Pd 0.5000 0.0000 0.5000  2 Si 2.29

---

Entry 6:
# Tb3Er3Tl2

Tb3Er3Tl2 after structural relaxation (GGA-PBE, Alexandria via LeMat-Bulk).

Results
Energy relative to the elements: -0.0991 eV per atom
Polymorph energy (0 for the lowest one): 77.6 meV per atom

Cell: 6.4567 6.4567 16.0193 Å, 90.00 90.00 133.38°
Closest atoms and distances in Å follow each position.
Sites, in units of the cell vectors:
Tb 0.0417 0.9583 0.6040  1 Tl 3.27, 6 Er 3.46-3.58, 2 Tb 3.48-3.55
Tb 0.0417 0.9583 0.8960  1 Tl 3.27, 6 Er 3.46-3.58, 2 Tb 3.48-3.55
Tb 0.2671 0.7329 0.7500  4 Tl 3.17, 1 Er 3.34
Tb 0.7329 0.2671 0.2500  4 Tl 3.17, 1 Er 3.34
Tb 0.9583 0.0417 0.1040  1 Tl 3.27, 6 Er 3.46-3.58, 2 Tb 3.48-3.55
Tb 0.9583 0.0417 0.3960  1 Tl 3.27, 6 Er 3.46-3.58, 2 Tb 3.48-3.55
Er 0.3626 0.6374 0.5353  3 Tl 3.12-3.20, 1 Er 3.45
Er 0.3626 0.6374 0.9647  3 Tl 3.12-3.20, 1 Er 3.45
Er 0.4510 0.5490 0.2500  2 Tl 3.21, 5 Tb 3.34-3.46
Er 0.5490 0.4510 0.7500  2 Tl 3.21, 5 Tb 3.34-3.46
Er 0.6374 0.3626 0.0353  3 Tl 3.12-3.20, 1 Er 3.45
Er 0.6374 0.3626 0.4647  3 Tl 3.12-3.20, 1 Er 3.45
Tl 0.2308 0.7692 0.1334  4 Er 3.12-3.21, 3 Tb 3.17-3.27
Tl 0.2308 0.7692 0.3666  4 Er 3.12-3.21, 3 Tb 3.17-3.27
Tl 0.7692 0.2308 0.6334  4 Er 3.12-3.21, 3 Tb 3.17-3.27
Tl 0.7692 0.2308 0.8666  4 Er 3.12-3.21, 3 Tb 3.17-3.27

---

Entry 7:
# LiFeSb2

LiFeSb2 after structural relaxation (GGA-PBE, Alexandria via LeMat-Bulk).

Results
ΔE_f (raw): 1.15 eV/f.u.
Polymorph energy (0 for the lowest one): 383.6 meV per atom

Cell: 7.0303 7.0303 7.0303 Å, 125.77 125.77 80.27°
Closest atoms and distances in Å follow each position.
Sites, in units of the cell vectors:
Li 0.0000 0.0000 0.0000  4 Sb 2.90
Li 0.7500 0.2500 0.5000  4 Sb 2.90
Fe 0.2500 0.7500 0.5000  4 Sb 2.41
Fe 0.5000 0.5000 0.0000  4 Sb 2.41
Sb 0.1876 0.6250 0.0626  2 Fe 2.41
Sb 0.3750 0.4376 0.5626  2 Fe 2.41
Sb 0.5624 0.1250 0.9374  2 Fe 2.41
Sb 0.8750 0.8124 0.4374  2 Fe 2.41

---

Entry 8:
# CsNbInPd2

CsNbInPd2 after structural relaxation (GGA-PBE, Alexandria via LeMat-Bulk).

Results
Energy relative to the elements: 1.0098 eV per atom

Cell: 5.0869 5.0869 6.2256 Å, 90.00 90.00 90.00°
Closest atoms and distances in Å follow each position.
Sites, in units of the cell vectors:
Cs 0.0000 0.0000 0.0000  2 Nb 3.11
Nb 0.0000 0.0000 0.5000  4 Pd 2.54
In 0.5000 0.5000 0.0000  4 Cs 3.60, 8 Pd 4.02
Pd 0.0000 0.5000 0.5000  2 Nb 2.54
Pd 0.5000 0.0000 0.5000  2 Nb 2.54

---

Entry 9:
# LiAlCuGe

LiAlCuGe after structural relaxation (GGA-PBE, Alexandria via LeMat-Bulk).

Results
Energy relative to the elements: -0.0834 eV per atom

Cell: 4.3770 4.3770 4.3770 Å, 60.00 60.00 60.00°
Closest atoms and distances in Å follow each position.
Sites, in units of the cell vectors:
Li 0.0000 0.0000 0.0000  4 Ge 2.68, 4 Cu 2.68
Al 0.5000 0.5000 0.5000  4 Cu 2.68, 4 Ge 2.68
Cu 0.7500 0.7500 0.7500  4 Li 2.68, 4 Al 2.68
Ge 0.2500 0.2500 0.2500  4 Al 2.68, 4 Li 2.68

---

Entry 10:
# CdCo3W

CdCo3W after structural relaxation (GGA-PBE, Alexandria via LeMat-Bulk).

Results
Energy relative to the elements: 1.3017 eV per atom
Polymorph energy (0 for the lowest one): 0.0 meV per atom

Cell: 4.4591 4.4591 4.4591 Å, 90.00 90.00 90.00°
Closest atoms and distances in Å follow each position.
Sites, in units of the cell vectors:
Cd 0.0000 0.0000 0.0000  12 Co 3.15
Co 0.0000 0.5000 0.5000  2 W 2.23
Co 0.5000 0.0000 0.5000  2 W 2.23
Co 0.5000 0.5000 0.0000  2 W 2.23
W 0.5000 0.5000 0.5000  6 Co 2.23

---

Entry 11:
# RhSeN2O

RhSeN2O after structural relaxation (GGA-PBE, Alexandria via LeMat-Bulk).

Results
ΔE_f (raw): 6.03 eV/f.u.

Cell: 3.8906 3.8906 3.9400 Å, 90.00 90.00 90.00°
Closest atoms and distances in Å follow each position.
Sites, in units of the cell vectors:
Rh 0.0000 0.0000 0.0000  4 N 1.95, 2 O 1.97
Se 0.5000 0.5000 0.5000  4 O 2.75, 8 N 2.77
N 0.0000 0.5000 0.0000  2 Rh 1.95
N 0.5000 0.0000 0.0000  2 Rh 1.95
O 0.0000 0.0000 0.5000  2 Rh 1.97

---

Entry 12:
# SrLa3Os

SrLa3Os after structural relaxation (GGA-PBE, Alexandria via LeMat-Bulk).

Results
Energy relative to the elements: -0.0696 eV per atom
Polymorph energy (0 for the lowest one): 14.0 meV per atom

Cell: 6.7806 8.5761 6.7825 Å, 90.00 105.06 90.00°
Closest atoms and distances in Å follow each position.
Sites, in units of the cell vectors:
Sr 0.2284 0.2500 0.2708  1 Os 3.14
Sr 0.7716 0.7500 0.7292  1 Os 3.14
La 0.2308 0.7500 0.2689  1 Os 2.68
La 0.2774 0.0000 0.7769  2 Os 2.83
La 0.2774 0.5000 0.7769  2 Os 2.83
La 0.7226 0.0000 0.2231  2 Os 2.83
La 0.7226 0.5000 0.2231  2 Os 2.83
La 0.7692 0.2500 0.7311  1 Os 2.68
Os 0.4795 0.7500 0.0203  5 La 2.68-2.83
Os 0.5205 0.2500 0.9797  5 La 2.68-2.83